RbV2CrO7 | Alexandria | PBE+U | relaxed; E = -7.212 eV per atom; SG = P2/c, No. 13; volume = 293.3 Å³/cell; calculated density = 4.0 Mg/m³
1.0
8.6293 0.0000 0.0000
0.0000 4.9586 0.0000
-1.3495 0.0000 6.8556
Rb V Cr O
2 4 2 14
Direct
0.0000 0.1106 0.2500
0.0000 0.8894 0.7500
0.3333 0.4965 0.1246
0.3333 0.5035 0.6246
0.6667 0.4965 0.3754
0.6667 0.5035 0.8754
0.5000 0.0000 0.0000
0.5000 0.0000 0.5000
0.1572 0.3756 0.6206
0.1572 0.6244 0.1206
0.2980 0.1782 0.0219
0.2980 0.8218 0.5219
0.3899 0.3420 0.3884
0.3899 0.6580 0.8884
0.5000 0.2159 0.7500
0.5000 0.7841 0.2500
0.6101 0.3420 0.1116
0.6101 0.6580 0.6116
0.7020 0.1782 0.4781
0.7020 0.8218 0.9781
0.8428 0.3756 0.8794
0.8428 0.6244 0.3794